(1)
Below is an optimized crystal structure of NiAgPd2, with properties calculated at the PBE-GGA level.

Cell: 2.816 2.816 7.562 Å, 90.00 90.00 90.00°
Atoms (fractional coordinates):
Ni 0.000 0.000 0.000
Ag 0.000 0.000 0.500
Pd 0.500 0.500 0.222
Pd 0.500 0.500 0.778

Values from the calculation:
excess energy over the best structure of this formula in the dataset = 0.0000 eV/atom
final energy = -4.739 eV/atom
energy relative to the elements = 0.02 eV/atom
density of states at the Fermi level = 1.13 states/eV/atom

***

(2)
Below is an optimized crystal structure of La2HfTlGe, with properties calculated at the PBE-GGA level.

Cell: 5.933 5.933 5.347 Å, 90.00 90.00 90.00°
Atoms (fractional coordinates):
La 0.000 0.500 0.000
La 0.500 0.000 0.000
Hf 0.000 0.000 0.500
Tl 0.000 0.000 0.000
Ge 0.500 0.500 0.500

Values from the calculation:
final energy = -4.701 eV/atom
energy relative to the elements = 0.66 eV/atom
density of states at the Fermi level = 1.29 states/eV/atom